A relaxed structure of TiAlNiO2, computed with PBE with a Hubbard U.

Properties
Uncorrected energy = -5.63 eV/atom
Total magnetic moment = 1.12 μB/cell
Calculated volume = 17.03 Å³ per atom
N(E_F) = 0.43 states/eV per atom

abc: 3.7158 3.7158 6.1676
angles: 90.00 90.00 90.00
With the nearest neighbours (Å) after each atom.
Fractional positions:
Ti  0.0000  0.0000  0.0000  4 O 1.86
Al  0.0000  0.0000  0.5000  4 Ni 2.63
Ni  0.5000  0.5000  0.5000  4 Al 2.63
O  0.0000  0.5000  0.0000  2 Ti 1.86
O  0.5000  0.0000  0.0000  2 Ti 1.86